Density functional theory data (PBE) for a relaxed structure of Cu4Ni3Pd8.

a b c (Å): 10.091 9.976 5.185
angles (deg): 90.00 120.73 90.00
Space group C2/m (No. 12)
Asymmetric unit:
Cu1 0.000 0.000 0.000 (multiplicity 2)
Cu2 0.000 0.000 0.500 (multiplicity 2)
Cu3 0.250 0.250 0.000 (multiplicity 4)
Ni1 0.000 0.500 0.500 (multiplicity 2)
Ni2 0.250 0.250 0.500 (multiplicity 4)
Pd1 0.000 0.249 0.500 (multiplicity 4)
Pd2 0.000 0.354 0.000 (multiplicity 4)
Pd3 0.244 0.500 0.495 (multiplicity 4)
Pd4 0.244 0.500 0.996 (multiplicity 4)

Values from the calculation:
Crystal system: monoclinic
Total DFT energy (no corrections): -142.65 eV for the cell shown
V: 14.96 A^3/atom
Magnetic moment: 5.4 μB per cell